DFT (SCAN) results for a crystal of LiCdPb relaxed with PBEsol.

Structure (POSCAR):
```
LiCdPb
1.0
-2.5696 0.5356 -2.0023
0.1931 -4.6769 -1.4990
-2.7637 1.2266 3.8750
Cd Li Pb
1 1 1
Direct
0.9986 0.0000 0.0000
0.7022 0.3333 0.6667
0.2992 0.6667 0.3333
```

- Total magnetic moment: 0.00 μB per cell
- Energy relative to the lowest polymorph listed for this composition: 56 meV per atom
- Energy of formation: -0.152 eV per atom